A plane-wave DFT calculation with GGA-PBE was carried out for CrAg2Pt after structural relaxation.

DOS(E_F) (states/eV/f.u.): 3.4
Formation energy from the elements (eV per atom): 0.1691
Distance to the lowest polymorph of the same formula (kJ/mol of atoms): 7.3

Cell and atoms, written as POSCAR:
```
CrAg2Pt
1.0
0.000 3.220 3.220
3.220 0.000 3.220
3.220 3.220 0.000
Cr Ag Pt
1 2 1
Direct
0.000 0.000 0.000
0.500 0.500 0.500
0.750 0.750 0.750
0.250 0.250 0.250
```

A plane-wave DFT calculation with GGA-PBE was carried out for KInGeAu3 after structural relaxation.

DOS(E_F) (states/eV/f.u.): 1.5
Formation energy from the elements (eV per atom): -0.1750

Cell and atoms, written as POSCAR:
```
KInGeAu3
1.0
3.501 -6.770 0.000
3.501 6.770 0.000
0.000 0.000 7.406
K In Ge Au
2 2 2 6
Direct
0.243 0.757 0.750
0.757 0.243 0.250
0.451 0.549 0.250
0.549 0.451 0.750
0.067 0.933 0.250
0.933 0.067 0.750
0.220 0.220 0.000
0.220 0.220 0.500
0.251 0.749 0.250
0.749 0.251 0.750
0.780 0.780 0.000
0.780 0.780 0.500
```

A plane-wave DFT calculation with GGA-PBE was carried out for Ca2AgSn4Au3 after structural relaxation.

DOS(E_F) (states/eV/f.u.): 6.1
Formation energy from the elements (eV per atom): -0.4342

Cell and atoms, written as POSCAR:
```
Ca2AgSn4Au3
1.0
4.606 0.000 0.000
0.000 4.606 0.000
0.000 0.000 11.754
Ca Ag Sn Au
2 1 4 3
Direct
0.000 0.500 0.234
0.500 0.000 0.766
0.500 0.500 0.000
0.000 0.000 0.500
0.000 0.500 0.867
0.500 0.000 0.133
0.500 0.500 0.500
0.000 0.000 0.000
0.000 0.500 0.641
0.500 0.000 0.359
```

A plane-wave DFT calculation with GGA-PBE was carried out for Sc2CuReB after structural relaxation.

DOS(E_F) (states/eV/f.u.): 5.1
Formation energy from the elements (eV per atom): 1.3877

Cell and atoms, written as POSCAR:
```
Sc2CuReB
1.0
4.714 0.000 0.000
0.000 4.714 0.000
0.000 0.000 4.483
Sc Cu Re B
2 1 1 1
Direct
0.000 0.500 0.000
0.500 0.000 0.000
0.000 0.000 0.000
0.000 0.000 0.500
0.500 0.500 0.500
```

A plane-wave DFT calculation with GGA-PBE was carried out for Co3SnBr after structural relaxation.

Formation energy from raw total energies (eV/atom): 0.99
DOS(E_F) (states/eV/f.u.): 8.4
Distance to the lowest polymorph of the same formula (kJ/mol of atoms): 0.0

Cell and atoms, written as POSCAR:
```
Co3SnBr
1.0
4.401 0.000 0.000
0.000 4.401 0.000
0.000 0.000 4.401
Co Sn Br
3 1 1
Direct
0.000 0.000 0.500
0.000 0.500 0.000
0.500 0.000 0.000
0.500 0.500 0.500
0.000 0.000 0.000
```

A plane-wave DFT calculation with GGA-PBE was carried out for La3TbIn2 after structural relaxation.

DOS(E_F) (states/eV/f.u.): 8.0
Formation energy from the elements (eV per atom): -0.3112
Distance to the lowest polymorph of the same formula (kJ/mol of atoms): 4.9

Cell and atoms, written as POSCAR:
```
La3TbIn2
1.0
-3.426 8.586 3.415
3.426 -8.586 3.415
3.426 8.586 -3.415
La Tb In
6 2 4
Direct
0.177 0.250 0.427
0.250 0.250 0.000
0.323 0.750 0.073
0.677 0.250 0.927
0.750 0.750 0.000
0.823 0.750 0.573
0.250 0.750 0.500
0.750 0.250 0.500
0.132 0.740 0.872
0.368 0.240 0.608
0.632 0.760 0.392
0.868 0.260 0.128
```

A plane-wave DFT calculation with GGA-PBE was carried out for UMnBr6 after structural relaxation.

Formation energy from raw total energies (eV/atom): -1.07
DOS(E_F) (states/eV/f.u.): 6.0
Distance to the lowest polymorph of the same formula (kJ/mol of atoms): 0.0

Cell and atoms, written as POSCAR:
```
UMnBr6
1.0
3.390 -6.699 0.000
3.390 6.699 0.000
-2.164 0.000 6.457
U Mn Br
1 1 6
Direct
0.000 0.000 0.000
0.500 0.500 0.500
0.120 0.403 0.264
0.250 0.250 0.750
0.403 0.120 0.264
0.597 0.880 0.736
0.750 0.750 0.250
0.880 0.597 0.736
```

A plane-wave DFT calculation with GGA-PBE was carried out for Tb3Nd6Pu after structural relaxation.

DOS(E_F) (states/eV/f.u.): 17.2
Formation energy from the elements (eV per atom): 0.2283

Cell and atoms, written as POSCAR:
```
Tb3Nd6Pu
1.0
5.678 0.000 0.000
0.000 10.136 0.000
-2.577 0.000 11.957
Tb Nd Pu
6 12 2
Direct
0.000 0.000 0.000
0.000 0.500 0.500
0.084 0.166 0.636
0.084 0.334 0.136
0.916 0.666 0.864
0.916 0.834 0.364
0.083 0.669 0.147
0.083 0.831 0.647
0.384 0.502 0.739
0.384 0.998 0.239
0.498 0.689 0.499
0.498 0.811 0.999
0.502 0.189 0.001
0.502 0.311 0.501
0.616 0.002 0.761
0.616 0.498 0.261
0.917 0.169 0.353
0.917 0.331 0.853
0.500 0.000 0.500
0.500 0.500 0.000
```

A plane-wave DFT calculation with GGA-PBE was carried out for Ac6CoHAu2 after structural relaxation.

DOS(E_F) (states/eV/f.u.): 9.4
E_tot (eV per formula unit): -45.709

Cell and atoms, written as POSCAR:
```
Ac6CoHAu2
1.0
7.297 0.000 0.000
0.000 7.903 0.000
-6.556 0.000 10.981
Ac Co H Au
12 2 2 4
Direct
0.108 0.034 0.252
0.108 0.466 0.752
0.233 0.687 0.064
0.233 0.813 0.564
0.374 0.189 0.061
0.374 0.311 0.561
0.626 0.689 0.439
0.626 0.811 0.939
0.767 0.187 0.436
0.767 0.313 0.936
0.892 0.534 0.248
0.892 0.966 0.748
0.000 0.000 0.000
0.000 0.500 0.500
0.500 0.000 0.500
0.500 0.500 0.000
0.327 0.107 0.769
0.327 0.393 0.269
0.673 0.607 0.731
0.673 0.893 0.231
```

A plane-wave DFT calculation with GGA-PBE was carried out for KCaLaSeO6 after structural relaxation.

Formation energy from raw total energies (eV/atom): -1.98
DOS(E_F) (states/eV/f.u.): 0.0

Cell and atoms, written as POSCAR:
```
KCaLaSeO6
1.0
0.000 4.040 4.040
4.040 0.000 4.040
4.040 4.040 0.000
K Ca La Se O
1 1 1 1 6
Direct
0.000 0.000 0.000
0.250 0.250 0.250
0.500 0.500 0.500
0.750 0.750 0.750
0.525 0.525 0.975
0.525 0.975 0.525
0.525 0.975 0.975
0.975 0.525 0.525
0.975 0.525 0.975
0.975 0.975 0.525
```

A plane-wave DFT calculation with GGA-PBE was carried out for Th4In5Hg2 after structural relaxation.

DOS(E_F) (states/eV/f.u.): 7.7
Formation energy from the elements (eV per atom): -0.2791

Cell and atoms, written as POSCAR:
```
Th4In5Hg2
1.0
8.260 0.000 0.000
0.000 3.378 0.000
-0.748 0.000 10.735
Th In Hg
4 5 2
Direct
0.165 0.000 0.386
0.279 0.000 0.944
0.721 0.000 0.056
0.835 0.000 0.614
0.202 0.500 0.664
0.435 0.500 0.207
0.500 0.500 0.500
0.565 0.500 0.793
0.798 0.500 0.336
0.056 0.500 0.136
0.944 0.500 0.864
```

A plane-wave DFT calculation with GGA-PBE was carried out for MgCuPb2 after structural relaxation.

DOS(E_F) (states/eV/f.u.): 1.7
Formation energy from the elements (eV per atom): 0.1302

Cell and atoms, written as POSCAR:
```
MgCuPb2
1.0
2.464 -2.469 0.000
2.464 2.469 0.000
0.000 0.000 7.838
Mg Cu Pb
1 1 2
Direct
0.000 0.000 0.000
0.000 0.000 0.500
0.500 0.500 0.277
0.500 0.500 0.723
```

A plane-wave DFT calculation with GGA-PBE was carried out for TaCdIrO6 after structural relaxation.

Formation energy from raw total energies (eV/atom): -1.53
DOS(E_F) (states/eV/f.u.): 5.0

Cell and atoms, written as POSCAR:
```
TaCdIrO6
1.0
4.848 0.000 0.000
0.000 4.848 0.000
0.000 0.000 9.572
Ta Cd Ir O
2 2 2 12
Direct
0.000 0.000 0.000
0.500 0.500 0.500
0.000 0.000 0.330
0.500 0.500 0.830
0.000 0.000 0.662
0.500 0.500 0.162
0.175 0.175 0.828
0.211 0.211 0.517
0.217 0.217 0.141
0.283 0.717 0.641
0.289 0.711 0.017
0.325 0.675 0.328
0.675 0.325 0.328
0.711 0.289 0.017
0.717 0.283 0.641
0.783 0.783 0.141
0.789 0.789 0.517
0.825 0.825 0.828
```

A plane-wave DFT calculation with GGA-PBE was carried out for NdBeAg after structural relaxation.

DOS(E_F) (states/eV/f.u.): 2.5
Formation energy from the elements (eV per atom): 0.1046

Cell and atoms, written as POSCAR:
```
NdBeAg
1.0
1.796 -9.041 0.000
1.796 9.041 0.000
0.000 0.000 4.082
Nd Be Ag
2 2 2
Direct
0.103 0.897 0.750
0.897 0.103 0.250
0.479 0.521 0.750
0.521 0.479 0.250
0.243 0.757 0.250
0.757 0.243 0.750
```

A plane-wave DFT calculation with GGA-PBE was carried out for SnGeAu2 after structural relaxation.

DOS(E_F) (states/eV/f.u.): 1.4
Formation energy from the elements (eV per atom): 0.0068
Distance to the lowest polymorph of the same formula (kJ/mol of atoms): 4.2

Cell and atoms, written as POSCAR:
```
SnGeAu2
1.0
3.624 0.000 0.000
-0.135 3.688 0.000
-1.327 -1.477 6.802
Sn Ge Au
1 1 2
Direct
0.000 0.000 0.000
0.631 0.640 0.506
0.092 0.097 0.401
0.427 0.422 0.815
```

A plane-wave DFT calculation with GGA-PBE was carried out for FeAs2Cl after structural relaxation.

Formation energy from raw total energies (eV/atom): 0.13
DOS(E_F) (states/eV/f.u.): 1.6
Distance to the lowest polymorph of the same formula (kJ/mol of atoms): 25.0

Cell and atoms, written as POSCAR:
```
FeAs2Cl
1.0
3.287 0.000 0.000
0.000 3.287 0.000
0.000 0.000 7.240
Fe As Cl
1 2 1
Direct
0.000 0.000 0.000
0.000 0.000 0.365
0.500 0.500 0.182
0.500 0.500 0.776
```

A plane-wave DFT calculation with GGA-PBE was carried out for AuSe3 after structural relaxation.

Formation energy from raw total energies (eV/atom): 0.15
DOS(E_F) (states/eV/f.u.): 1.5

Cell and atoms, written as POSCAR:
```
AuSe3
1.0
4.305 -1.416 0.000
4.305 1.416 0.000
-0.097 0.000 7.898
Au Se
1 3
Direct
0.000 0.000 0.000
0.330 0.330 0.776
0.500 0.500 0.500
0.670 0.670 0.224
```

A plane-wave DFT calculation with GGA-PBE was carried out for PmNdI4 after structural relaxation.

Formation energy from raw total energies (eV/atom): -1.20
DOS(E_F) (states/eV/f.u.): 3.1
Distance to the lowest polymorph of the same formula (kJ/mol of atoms): 8.2

Cell and atoms, written as POSCAR:
```
PmNdI4
1.0
-3.130 3.130 6.062
3.130 -3.130 6.062
3.130 3.130 -6.062
Pm Nd I
1 1 4
Direct
0.000 0.000 0.000
0.750 0.250 0.500
0.015 0.515 0.500
0.264 0.264 0.000
0.485 0.985 0.500
0.736 0.736 0.000
```

A plane-wave DFT calculation with GGA-PBE was carried out for CsMn2InCl6 after structural relaxation.

Formation energy from raw total energies (eV/atom): -1.23
DOS(E_F) (states/eV/f.u.): 0.0

Cell and atoms, written as POSCAR:
```
CsMn2InCl6
1.0
7.154 -6.773 0.000
7.154 6.773 0.000
-1.622 0.000 7.268
Cs Mn In Cl
2 4 2 12
Direct
0.185 0.815 0.750
0.815 0.185 0.250
0.126 0.303 0.767
0.303 0.126 0.267
0.697 0.874 0.733
0.874 0.697 0.233
0.401 0.599 0.250
0.599 0.401 0.750
0.093 0.611 0.318
0.121 0.170 0.016
0.170 0.121 0.516
0.292 0.469 0.835
0.389 0.907 0.182
0.469 0.292 0.335
0.531 0.708 0.665
0.611 0.093 0.818
0.708 0.531 0.165
0.830 0.879 0.484
0.879 0.830 0.984
0.907 0.389 0.682
```

A plane-wave DFT calculation with GGA-PBE was carried out for LiAlIr after structural relaxation.

DOS(E_F) (states/eV/f.u.): 1.0
Formation energy from the elements (eV per atom): -0.5888

Cell and atoms, written as POSCAR:
```
LiAlIr
1.0
2.086 -4.631 0.000
2.086 4.631 0.000
0.000 0.000 4.239
Li Al Ir
2 2 2
Direct
0.080 0.920 0.750
0.920 0.080 0.250
0.252 0.748 0.250
0.748 0.252 0.750
0.409 0.591 0.750
0.591 0.409 0.250
```

A plane-wave DFT calculation with GGA-PBE was carried out for FeCo5Ge after structural relaxation.

DOS(E_F) (states/eV/f.u.): 9.3
Formation energy from the elements (eV per atom): 0.0881

Cell and atoms, written as POSCAR:
```
FeCo5Ge
1.0
3.033 -3.389 0.000
3.033 3.389 0.000
-3.033 0.000 7.968
Fe Co Ge
2 10 2
Direct
0.013 0.987 0.750
0.987 0.013 0.250
0.044 0.732 0.458
0.099 0.492 0.148
0.268 0.956 0.042
0.362 0.638 0.750
0.492 0.099 0.648
0.508 0.901 0.352
0.638 0.362 0.250
0.732 0.044 0.958
0.901 0.508 0.852
0.956 0.268 0.542
0.500 0.500 0.000
0.500 0.500 0.500
```

A plane-wave DFT calculation with GGA-PBE was carried out for Eu3AgRh after structural relaxation.

DOS(E_F) (states/eV/f.u.): 22.2
Formation energy from the elements (eV per atom): -0.1712

Cell and atoms, written as POSCAR:
```
Eu3AgRh
1.0
5.535 0.000 0.000
0.000 5.535 0.000
0.000 0.000 5.535
Eu Ag Rh
3 1 1
Direct
0.000 0.000 0.500
0.000 0.500 0.000
0.500 0.000 0.000
0.500 0.500 0.500
0.000 0.000 0.000
```

A plane-wave DFT calculation with GGA-PBE was carried out for Sm2CdPd5 after structural relaxation.

DOS(E_F) (states/eV/f.u.): 2.4
Formation energy from the elements (eV per atom): -0.7061

Cell and atoms, written as POSCAR:
```
Sm2CdPd5
1.0
-3.097 3.097 3.952
3.097 -3.097 3.952
3.097 3.097 -3.952
Sm Cd Pd
2 1 5
Direct
0.000 0.500 0.500
0.500 0.000 0.500
0.499 0.499 0.000
0.000 0.000 0.000
0.000 0.000 0.499
0.000 0.500 0.000
0.500 0.000 0.000
0.500 0.500 0.501
```